Record 1
# BeZn2Au GGA-PBE optimized geometry
# ΔH_f (0 K): -17 meV/atom
# VASP energy: -2.4050 eV/atom
data_BeZn2Au
_symmetry_space_group_name_H-M 'P 1'
_symmetry_Int_Tables_number 1
_symmetry_space_group_name_Hall 'P 1'
_cell_length_a 4.615
_cell_length_b 4.708
_cell_length_c 5.461
_cell_angle_alpha 73.13
_cell_angle_beta 89.09
_cell_angle_gamma 80.12
loop_
_atom_site_label
_atom_site_fract_x
_atom_site_fract_y
_atom_site_fract_z
Be1 0.000 0.000 0.000
Be2 0.250 0.537 0.352
Zn1 0.240 0.548 0.868
Zn2 0.464 0.031 0.722
Zn3 0.761 0.529 0.115
Zn4 0.990 0.993 0.475
Au1 0.475 0.036 0.214
Au2 0.774 0.469 0.626

---

Record 2
# Be3Zn2Au8 GGA-PBE optimized geometry
# ΔH_f (0 K): -108 meV/atom
# relative energy among the computed polymorphs: 0.0 kJ/mol of atoms
# VASP energy: -3.1810 eV/atom
data_Be3Zn2Au8
_symmetry_space_group_name_H-M 'C m m m'
_symmetry_Int_Tables_number 65
_symmetry_space_group_name_Hall '-C 2 2'
_cell_length_a 7.862
_cell_length_b 13.589
_cell_length_c 4.079
_cell_angle_alpha 90.00
_cell_angle_beta 90.00
_cell_angle_gamma 90.00
loop_
_atom_site_label
_atom_site_fract_x
_atom_site_fract_y
_atom_site_fract_z
Be1 0.000 0.000 0.000
Be2 0.248 0.500 0.500
Zn1 0.000 0.250 0.000
Au1 0.000 0.113 0.500
Au2 0.000 0.386 0.500
Au3 0.247 0.390 0.000

---

Record 3
# BeZn2Au GGA-PBE optimized geometry
# ΔH_f (0 K): -34 meV/atom
# VASP energy: -2.4222 eV/atom
data_BeZn2Au
_symmetry_space_group_name_H-M 'C 1 m 1'
_symmetry_Int_Tables_number 8
_symmetry_space_group_name_Hall 'C -2y'
_cell_length_a 7.053
_cell_length_b 4.102
_cell_length_c 4.766
_cell_angle_alpha 90.00
_cell_angle_beta 119.03
_cell_angle_gamma 90.00
loop_
_atom_site_label
_atom_site_fract_x
_atom_site_fract_y
_atom_site_fract_z
Be1 0.000 0.000 0.000
Zn1 0.194 0.000 0.587
Zn2 0.418 0.000 0.257
Au1 0.136 0.500 0.908

---

Record 4
# BeZn6Au12 GGA-PBE optimized geometry
# ΔH_f (0 K): -142 meV/atom
# VASP energy: -2.8102 eV/atom
data_BeZn6Au12
_symmetry_space_group_name_H-M 'R -3'
_symmetry_Int_Tables_number 148
_symmetry_space_group_name_Hall '-R 3'
_cell_length_a 9.7425
_cell_length_b 9.7425
_cell_length_c 11.7569
_cell_angle_alpha 90.00
_cell_angle_beta 90.00
_cell_angle_gamma 120.00
loop_
_atom_site_label
_atom_site_fract_x
_atom_site_fract_y
_atom_site_fract_z
Be1 0.0000 0.0000 0.0000
Zn1 0.0208 0.6035 0.7123
Au1 0.0240 0.8429 0.8375
Au2 0.0474 0.2015 0.4028

---

Record 5
# Be5ZnAu4 GGA-PBE optimized geometry
# ΔH_f (0 K): -46 meV/atom
# VASP energy: -3.3474 eV/atom
data_Be5ZnAu4
_symmetry_space_group_name_H-M 'P 1 2/m 1'
_symmetry_Int_Tables_number 10
_symmetry_space_group_name_Hall '-P 2y'
_cell_length_a 3.813
_cell_length_b 2.831
_cell_length_c 12.369
_cell_angle_alpha 90.00
_cell_angle_beta 93.08
_cell_angle_gamma 90.00
loop_
_atom_site_label
_atom_site_fract_x
_atom_site_fract_y
_atom_site_fract_z
Be1 0.000 0.000 0.000
Be2 0.060 0.000 0.815
Be3 0.465 0.000 0.297
Zn1 0.500 0.500 0.500
Au1 0.027 0.500 0.650
Au2 0.424 0.500 0.120

---

Record 6
# Be2Zn2Au5 GGA-PBE optimized geometry
# ΔH_f (0 K): -86 meV/atom
# VASP energy: -3.0178 eV/atom
data_Be2Zn2Au5
_symmetry_space_group_name_H-M 'C m c e'
_symmetry_Int_Tables_number 64
_symmetry_space_group_name_Hall '-C 2ac 2'
_cell_length_a 13.280
_cell_length_b 6.560
_cell_length_c 6.538
_cell_angle_alpha 90.00
_cell_angle_beta 90.00
_cell_angle_gamma 90.00
loop_
_atom_site_label
_atom_site_fract_x
_atom_site_fract_y
_atom_site_fract_z
Be1 0.000 0.134 0.129
Zn1 0.214 0.000 0.500
Au1 0.000 0.000 0.500
Au2 0.123 0.158 0.834